Na2HoFeO4 | GGA+U | relaxed

## Properties
SG	No. 74
uncorrected energy	-49.90	eV/f.u.

Lattice parameters (Å, degrees): 6.5313 6.5314 6.7121 120.92 120.92 89.64
Each line ends with the local moment (μB).
Sites, in units of the cell vectors:
Na  0.5000  0.0000  0.0000  0.00
Na  0.5000  0.0000  0.5000  0.00
Na  0.0000  0.0000  0.5000  0.01
Na  0.5000  0.5000  0.0000  0.01
Ho  0.0000  0.5000  0.0000  0.01
Ho  0.0000  0.5000  0.5000  0.01
Fe  0.5000  0.5000  0.5000  4.30
Fe  0.0000  0.0000  0.0000  4.30
O  0.2143  0.7534  0.9838  0.10
O  0.7466  0.2857  0.5162  0.10
O  0.2534  0.7143  0.4838  0.10
O  0.7857  0.2466  0.0162  0.10
O  0.7554  0.7446  0.9609  0.16
O  0.7554  0.7446  0.5391  0.16
O  0.2446  0.2554  0.4609  0.16
O  0.2446  0.2554  0.0391  0.16